Ac2CuTe: optimized geometry, GGA-PBE.

Formation energy without anion corrections   -0.736 eV per atom
ΔE to the lowest computed polymorph   0.000 eV per atom
Size of the total moment   0.000 μB/atom
Uncorrected energy   -18.40 eV per formula unit

The structure in POSCAR format:
```
Ac2CuTe
1.0
2.237 1.292 8.053
-2.237 1.292 8.053
0.000 -2.584 8.053
Ac Cu Te
2 1 1
Cartesian
0.000 0.000 5.829
0.000 0.000 18.331
0.000 0.000 12.080
0.000 0.000 0.000
```